Entry from Alexandria: Zr2Be2P after structural relaxation (PBE).

Unit cell a=6.173 b=6.173 c=3.798 alpha=90.00 beta=90.00 gamma=90.00
Positions (direct):
P  0.000  0.000  0.000
P  0.500  0.500  0.000
Zr  0.178  0.678  0.500
Zr  0.678  0.822  0.500
Zr  0.822  0.322  0.500
Zr  0.322  0.178  0.500
Be  0.381  0.881  0.000
Be  0.881  0.619  0.000
Be  0.619  0.119  0.000
Be  0.119  0.381  0.000

Output
* density: 5.311 g cm⁻³
* space group: P4/mbm, No. 127
* ΔH_f (0 K): -423 meV/atom